# Cr2Rh PBE-GGA relaxed
data_Cr2Rh
_cell_length_a 5.7097
_cell_length_b 5.7097
_cell_length_c 5.7097
_cell_angle_alpha 90.00
_cell_angle_beta 90.00
_cell_angle_gamma 90.00
_symmetry_space_group_name_H-M 'P a -3'
_symmetry_Int_Tables_number 205
_symmetry_space_group_name_Hall '-P 2ac 2ab 3'
loop_
_atom_site_label
_atom_site_type_symbol
_atom_site_fract_x
_atom_site_fract_y
_atom_site_fract_z
_atom_site_occupancy
Cr1 Cr 0.0970 0.0970 0.0970 1
Rh1 Rh 0.0000 0.0000 0.5000 1
# DFT formation energy (eV/atom): 0.917
# Calculated total energy (eV/atom): -7.949
# Density (kg/m3): 7383

=====

# FeCuSi2 PBE-GGA relaxed
data_FeCuSi2
_cell_length_a 7.6922
_cell_length_b 2.7352
_cell_length_c 4.6448
_cell_angle_alpha 90.00
_cell_angle_beta 100.54
_cell_angle_gamma 90.00
_symmetry_space_group_name_H-M 'C 1 2/m 1'
_symmetry_Int_Tables_number 12
_symmetry_space_group_name_Hall '-C 2y'
loop_
_atom_site_label
_atom_site_type_symbol
_atom_site_fract_x
_atom_site_fract_y
_atom_site_fract_z
_atom_site_occupancy
Fe1 Fe 0.0000 0.0000 0.0000 1
Cu1 Cu 0.0000 0.5000 0.5000 1
Si1 Si 0.2410 0.5000 0.2255 1
# Calculated total energy (eV/atom): -5.924
# Density (kg/m3): 6069

=====

# DyTm2Te PBE-GGA relaxed
data_DyTm2Te
_cell_length_a 3.8291
_cell_length_b 3.8291
_cell_length_c 29.1104
_cell_angle_alpha 90.00
_cell_angle_beta 90.00
_cell_angle_gamma 120.00
_symmetry_space_group_name_H-M 'R 3 m'
_symmetry_Int_Tables_number 160
_symmetry_space_group_name_Hall 'R 3 -2"'
loop_
_atom_site_label
_atom_site_type_symbol
_atom_site_fract_x
_atom_site_fract_y
_atom_site_fract_z
_atom_site_occupancy
Dy1 Dy 0.0000 0.0000 0.0000 1
Tm1 Tm 0.0000 0.0000 0.2391 1
Tm2 Tm 0.0000 0.0000 0.4269 1
Te1 Te 0.0000 0.0000 0.8332 1
# Calculated total energy (eV/atom): -4.674
# Density (kg/m3): 8463

=====

# Pr12NdTm2 PBE-GGA relaxed
data_Pr12NdTm2
_cell_length_a 7.2528
_cell_length_b 11.7387
_cell_length_c 25.2296
_cell_angle_alpha 90.00
_cell_angle_beta 90.00
_cell_angle_gamma 90.00
_symmetry_space_group_name_H-M 'C m m e'
_symmetry_Int_Tables_number 67
_symmetry_space_group_name_Hall '-C 2a 2'
loop_
_atom_site_label
_atom_site_type_symbol
_atom_site_fract_x
_atom_site_fract_y
_atom_site_fract_z
_atom_site_occupancy
Pr1 Pr 0.0000 0.0035 0.0741 1
Pr2 Pr 0.0000 0.0242 0.5602 1
Pr3 Pr 0.2307 0.2500 0.4139 1
Pr4 Pr 0.2477 0.2500 0.8675 1
Pr5 Pr 0.2500 0.0000 0.1992 1
Pr6 Pr 0.2500 0.0000 0.3240 1
Nd1 Nd 0.0000 0.2500 0.9983 1
Tm1 Tm 0.0000 0.2500 0.2675 1
Tm2 Tm 0.0000 0.2500 0.7295 1
# DFT formation energy (eV/atom): 0.153
# Calculated total energy (eV/atom): -4.584
# Density (kg/m3): 6719

=====

# In2IrRu PBE-GGA relaxed
data_In2IrRu
_cell_length_a 2.9882
_cell_length_b 4.0493
_cell_length_c 5.8001
_cell_angle_alpha 90.00
_cell_angle_beta 90.00
_cell_angle_gamma 90.00
_symmetry_space_group_name_H-M 'P m m 2'
_symmetry_Int_Tables_number 25
_symmetry_space_group_name_Hall 'P 2 -2'
loop_
_atom_site_label
_atom_site_type_symbol
_atom_site_fract_x
_atom_site_fract_y
_atom_site_fract_z
_atom_site_occupancy
In1 In 0.0000 0.0000 0.0000 1
In2 In 0.5000 0.5000 0.3148 1
Ir1 Ir 0.0000 0.0000 0.5240 1
Ru1 Ru 0.5000 0.5000 0.7955 1
# DFT formation energy (eV/atom): 0.199
# Calculated total energy (eV/atom): -5.704
# Density (kg/m3): 12373

=====

# Nb2CdSbAu PBE-GGA relaxed
data_Nb2CdSbAu
_cell_length_a 5.1060
_cell_length_b 5.1060
_cell_length_c 5.0457
_cell_angle_alpha 90.00
_cell_angle_beta 90.00
_cell_angle_gamma 90.00
_symmetry_space_group_name_H-M 'P 4/m m m'
_symmetry_Int_Tables_number 123
_symmetry_space_group_name_Hall '-P 4 2'
loop_
_atom_site_label
_atom_site_type_symbol
_atom_site_fract_x
_atom_site_fract_y
_atom_site_fract_z
_atom_site_occupancy
Nb1 Nb 0.0000 0.5000 0.0000 1
Cd1 Cd 0.0000 0.0000 0.5000 1
Sb1 Sb 0.5000 0.5000 0.5000 1
Au1 Au 0.0000 0.0000 0.0000 1
# Calculated total energy (eV/atom): -4.639
# Density (kg/m3): 7788

=====

# Sm2Er7Th2 PBE-GGA relaxed
data_Sm2Er7Th2
_cell_length_a 8.6508
_cell_length_b 11.4943
_cell_length_c 10.5021
_cell_angle_alpha 90.00
_cell_angle_beta 105.58
_cell_angle_gamma 90.00
_symmetry_space_group_name_H-M 'C 1 2/m 1'
_symmetry_Int_Tables_number 12
_symmetry_space_group_name_Hall '-C 2y'
loop_
_atom_site_label
_atom_site_type_symbol
_atom_site_fract_x
_atom_site_fract_y
_atom_site_fract_z
_atom_site_occupancy
Sm1 Sm 0.1157 0.0000 0.3893 1
Er1 Er 0.0000 0.5000 0.5000 1
Er2 Er 0.1066 0.1621 0.8672 1
Er3 Er 0.1945 0.5000 0.2822 1
Th1 Th 0.0000 0.3697 0.0000 1
# DFT formation energy (eV/atom): 1.175
# Calculated total energy (eV/atom): -3.936
# Density (kg/m3): 6390

=====

# Ac5La2Sm PBE-GGA relaxed
data_Ac5La2Sm
_cell_length_a 5.8507
_cell_length_b 12.7125
_cell_length_c 18.0907
_cell_angle_alpha 90.00
_cell_angle_beta 90.00
_cell_angle_gamma 90.00
_symmetry_space_group_name_H-M 'C m c m'
_symmetry_Int_Tables_number 63
_symmetry_space_group_name_Hall '-C 2c 2'
loop_
_atom_site_label
_atom_site_type_symbol
_atom_site_fract_x
_atom_site_fract_y
_atom_site_fract_z
_atom_site_occupancy
Ac1 Ac 0.0000 0.0092 0.2500 1
Ac2 Ac 0.0000 0.1408 0.5446 1
Ac3 Ac 0.0000 0.4451 0.5995 1
La1 La 0.0000 0.2571 0.1434 1
Sm1 Sm 0.0000 0.2664 0.7500 1
# DFT formation energy (eV/atom): 0.102
# Calculated total energy (eV/atom): -4.288
# Density (kg/m3): 7716

=====

# NdMgAlGa2 PBE-GGA relaxed
data_NdMgAlGa2
_cell_length_a 4.2833
_cell_length_b 4.2833
_cell_length_c 11.4543
_cell_angle_alpha 90.00
_cell_angle_beta 90.00
_cell_angle_gamma 90.00
_symmetry_space_group_name_H-M 'I -4 m 2'
_symmetry_Int_Tables_number 119
_symmetry_space_group_name_Hall 'I -4 -2'
loop_
_atom_site_label
_atom_site_type_symbol
_atom_site_fract_x
_atom_site_fract_y
_atom_site_fract_z
_atom_site_occupancy
Nd1 Nd 0.0000 0.0000 0.0000 1
Mg1 Mg 0.0000 0.5000 0.2500 1
Al1 Al 0.0000 0.5000 0.7500 1
Ga1 Ga 0.0000 0.0000 0.3915 1
# DFT formation energy (eV/atom): -0.455
# Calculated total energy (eV/atom): -3.686
# Density (kg/m3): 5294

=====

# LuScPdPb PBE-GGA relaxed
data_LuScPdPb
_cell_length_a 7.0947
_cell_length_b 7.0947
_cell_length_c 7.0947
_cell_angle_alpha 90.00
_cell_angle_beta 90.00
_cell_angle_gamma 90.00
_symmetry_space_group_name_H-M 'F -4 3 m'
_symmetry_Int_Tables_number 216
_symmetry_space_group_name_Hall 'F -4 2 3'
loop_
_atom_site_label
_atom_site_type_symbol
_atom_site_fract_x
_atom_site_fract_y
_atom_site_fract_z
_atom_site_occupancy
Lu1 Lu 0.0000 0.0000 0.0000 1
Sc1 Sc 0.0000 0.0000 0.5000 1
Pd1 Pd 0.2500 0.2500 0.2500 1
Pb1 Pb 0.2500 0.2500 0.7500 1
# DFT formation energy (eV/atom): -0.582
# Calculated total energy (eV/atom): -5.521
# Density (kg/m3): 9924

=====

# La2Tb3N4 PBE-GGA relaxed
data_La2Tb3N4
_cell_length_a 11.8265
_cell_length_b 3.5466
_cell_length_c 8.9323
_cell_angle_alpha 90.00
_cell_angle_beta 118.06
_cell_angle_gamma 90.00
_symmetry_space_group_name_H-M 'C 1 2/m 1'
_symmetry_Int_Tables_number 12
_symmetry_space_group_name_Hall '-C 2y'
loop_
_atom_site_label
_atom_site_type_symbol
_atom_site_fract_x
_atom_site_fract_y
_atom_site_fract_z
_atom_site_occupancy
La1 La 0.1026 0.0000 0.3842 1
Tb1 Tb 0.0000 0.5000 0.0000 1
Tb2 Tb 0.2126 0.5000 0.8226 1
N1 N 0.1071 0.0000 0.9098 1
N2 N 0.1940 0.5000 0.2861 1
# Calculated total energy (eV/atom): -7.688
# Density (kg/m3): 8143

=====

# Pm3Ga2SiPd9 PBE-GGA relaxed
data_Pm3Ga2SiPd9
_cell_length_a 6.5897
_cell_length_b 6.5897
_cell_length_c 8.3282
_cell_angle_alpha 90.00
_cell_angle_beta 90.00
_cell_angle_gamma 120.00
_symmetry_space_group_name_H-M 'P -3 m 1'
_symmetry_Int_Tables_number 164
_symmetry_space_group_name_Hall '-P 3 2"'
loop_
_atom_site_label
_atom_site_type_symbol
_atom_site_fract_x
_atom_site_fract_y
_atom_site_fract_z
_atom_site_occupancy
Pm1 Pm 0.0000 0.0000 0.0000 1
Pm2 Pm 0.3333 0.6667 0.6962 1
Ga1 Ga 0.3333 0.6667 0.1907 1
Si1 Si 0.0000 0.0000 0.5000 1
Pd1 Pd 0.0000 0.5000 0.0000 1
Pd2 Pd 0.1404 0.2808 0.2933 1
# Calculated total energy (eV/atom): -5.396
# Density (kg/m3): 8273